No. 1
LiTmBi2 | PBE | relaxed

Formation energy from the elements, eV/f.u.: -1.618
Total magnetization, μB per atom: 0.000
Fermi-level density of states, states/eV/atom: 0.77
Mass density, g cm⁻³: 9.07

The structure in POSCAR format:
```
LiTmBi2
1.0
5.358 0.000 0.000
2.679 4.640 0.000
2.679 1.547 4.374
Bi Tm Li
2 1 1
Direct
0.250 0.250 0.250 Bi
0.750 0.750 0.750 Bi
0.000 0.000 0.000 Tm
0.500 0.500 0.500 Li
```

No. 2
Li2TmBi | PBE | relaxed

Formation energy from the elements, eV/f.u.: -1.649
Total magnetization, μB per atom: 0.000
Fermi-level density of states, states/eV/atom: 0.21
Mass density, g cm⁻³: 6.91

The structure in POSCAR format:
```
Li2TmBi
1.0
-2.370 4.182 -0.164
-3.093 -1.853 -2.564
-2.292 -1.158 3.602
Tm Li Bi
1 2 1
Direct
0.500 0.500 0.500 Tm
0.000 0.000 0.500 Li
0.000 0.500 0.000 Li
0.500 0.000 0.000 Bi
```

No. 3
LiUBi2 | PBE | relaxed

Formation energy from the elements, eV/f.u.: -0.422
Total magnetization, μB per atom: 0.599
Fermi-level density of states, states/eV/atom: 1.90
Mass density, g cm⁻³: 10.47

The structure in POSCAR format:
```
LiUBi2
1.0
-2.113 1.694 -3.041
-2.432 -4.398 -0.760
-3.601 1.422 3.293
Bi Li U
2 1 1
Direct
0.000 0.500 0.000 Bi
0.000 0.000 0.500 Bi
0.500 0.000 0.000 Li
0.500 0.500 0.500 U
```